This record from Alexandria via LeMat-Bulk describes Hg3MoSe after structural relaxation. The functional is PBE.

The space group is Pm-3m (No. 221) and the conventional cell measures 5.454, 5.454 and 5.454 Å, with angles of 90.00, 90.00 and 90.00 degrees. The asymmetric unit holds Hg at (0.000, 0.000, 0.500), Mo at (0.000, 0.000, 0.000) and Se at (0.500, 0.500, 0.500).

The value obtained for the formation energy from raw total energies is 0.99 eV/atom. The crystal system is cubic.

=====

This record from Alexandria via LeMat-Bulk describes Pr3SmHo after structural relaxation. The functional is PBE.

The space group is C2/m (No. 12) and the conventional cell measures 17.649, 6.912 and 6.136 Å, with angles of 90.00, 110.06 and 90.00 degrees. The asymmetric unit holds Pr at (0.152, 0.232, 0.401), Pr at (0.225, 0.500, 0.974), Sm at (0.000, 0.500, 0.000), Sm at (0.000, 0.500, 0.500) and Ho at (0.051, 0.000, 0.801).

As for the formation energy: 0.181 eV per atom. The crystal system is monoclinic.

=====

no.,volume (A^3/atom),DFT total energy (eV/f.u.)
1,32.4,-10.287
2,35.2,-22.732